1.
HgHOF2: optimized geometry, PBE.

Lattice parameters (Å, degrees): 3.196 3.196 5.074 90.00 90.00 90.00
Positions (direct):
Hg1 0.000 0.000 0.000
H1 0.500 0.500 0.500
O1 0.500 0.500 0.000
F1 0.000 0.500 0.500
F2 0.500 0.000 0.500

Values from the calculation:
The calculation puts the size of the total moment at 0.65 μB per formula unit. The calculation puts the calculated volume at 10.37 Å³ per atom. Its calculated density is 8.19 Mg/m³. The calculation puts the energy at -13.8 eV per cell.


2.
HgHO2F: optimized geometry, PBE.

Lattice parameters (Å, degrees): 3.278 3.278 4.589 90.00 90.00 90.00
Positions (direct):
Hg1 0.000 0.000 0.000
H1 0.500 0.500 0.500
O1 0.000 0.500 0.500
O2 0.500 0.000 0.500
F1 0.500 0.500 0.000

Values from the calculation:
The calculation puts the size of the total moment at 0.45 μB per formula unit. The calculation puts the calculated volume at 9.86 Å³ per atom. Its calculated density is 8.51 Mg/m³. The calculation puts the energy at -14.2 eV per cell.


3.
HgTeHO3F: optimized geometry, PBE.

Lattice parameters (Å, degrees): 9.116 8.224 5.968 90.00 90.00 90.00
Positions (direct):
Hg1 0.140 0.067 0.000
Hg2 0.360 0.067 0.500
Hg3 0.640 0.933 0.000
Hg4 0.860 0.933 0.500
Te1 0.061 0.682 0.817
Te2 0.439 0.682 0.317
Te3 0.561 0.318 0.817
Te4 0.939 0.318 0.317
H1 0.080 0.685 0.383
H2 0.420 0.685 0.883
H3 0.580 0.315 0.383
H4 0.920 0.315 0.883
O1 0.115 0.612 0.506
O2 0.134 0.249 0.239
O3 0.152 0.889 0.756
O4 0.348 0.889 0.256
O5 0.366 0.249 0.739
O6 0.385 0.612 0.006
O7 0.615 0.388 0.506
O8 0.634 0.751 0.239
O9 0.652 0.111 0.756
O10 0.848 0.111 0.256
O11 0.866 0.751 0.739
O12 0.885 0.388 0.006
F1 0.016 0.780 0.155
F2 0.484 0.780 0.655
F3 0.516 0.220 0.155
F4 0.984 0.220 0.655

Values from the calculation:
The calculation puts the size of the total moment at 0.00 μB per formula unit. The calculation puts the calculated volume at 15.98 Å³ per atom. Its calculated density is 5.88 Mg/m³. The calculation puts the energy at -123.4 eV per cell.


4.
HgH2OsF: optimized geometry, PBE.

Lattice parameters (Å, degrees): 3.538 3.538 6.254 90.00 90.00 90.00
Positions (direct):
Hg1 0.000 0.000 0.000
H1 0.000 0.500 0.000
H2 0.500 0.000 0.000
Os1 0.500 0.500 0.500
F1 0.000 0.000 0.500

Values from the calculation:
The calculation puts the size of the total moment at 3.15 μB per formula unit. The calculation puts the calculated volume at 15.65 Å³ per atom. Its calculated density is 8.74 Mg/m³. The calculation puts the energy at -14.9 eV per cell.


5.
HgH2PdF8: optimized geometry, PBE.

Lattice parameters (Å, degrees): 5.136 5.136 6.807 94.63 94.63 69.01
Positions (direct):
Hg1 0.000 0.000 0.000
H1 0.268 0.268 0.771
H2 0.732 0.732 0.229
Pd1 0.000 0.000 0.500
F1 0.208 0.764 0.712
F2 0.230 0.230 0.564
F3 0.236 0.792 0.288
F4 0.277 0.277 0.920
F5 0.723 0.723 0.080
F6 0.764 0.208 0.712
F7 0.770 0.770 0.436
F8 0.792 0.236 0.288

Values from the calculation:
The calculation puts the size of the total moment at 0.00 μB per formula unit. The calculation puts the calculated volume at 13.91 Å³ per atom. Its calculated density is 4.59 Mg/m³. The calculation puts the energy at -44.0 eV per cell.


6.
HgHPtF2: optimized geometry, PBE.

Lattice parameters (Å, degrees): 4.061 4.061 5.578 90.00 90.00 90.00
Positions (direct):
Hg1 0.000 0.000 0.000
H1 0.500 0.500 0.000
Pt1 0.000 0.000 0.500
F1 0.000 0.500 0.500
F2 0.500 0.000 0.500

Values from the calculation:
The calculation puts the size of the total moment at 0.34 μB per formula unit. The calculation puts the calculated volume at 18.40 Å³ per atom. Its calculated density is 7.85 Mg/m³. The calculation puts the energy at -14.2 eV per cell.